Density functional theory data (GGA-PBE) for a relaxed Pr3NpTe6 crystal.

a = 7.476 Å, b = 8.415 Å, c = 11.454 Å
α = 90.00°, β = 90.44°, γ = 90.00°
Each line ends with the local moment (μB).
Fractional positions:
Te 0.835 0.946 0.246  -0.03
Te 0.335 0.554 0.746  -0.03
Te 0.655 0.179 0.580  -0.03
Te 0.665 0.446 0.254  -0.03
Te 0.837 0.674 0.582  -0.03
Te 0.155 0.321 0.080  -0.03
Te 0.163 0.326 0.418  -0.03
Te 0.165 0.054 0.754  -0.03
Te 0.845 0.679 0.920  -0.03
Te 0.345 0.821 0.420  -0.03
Te 0.663 0.174 0.918  -0.03
Te 0.337 0.826 0.082  -0.03
Pr 0.500 0.500 0.000  0.02
Pr 0.552 0.880 0.747  0.03
Pr 0.052 0.620 0.247  0.03
Pr 0.000 0.000 0.500  0.02
Pr 0.448 0.120 0.253  0.03
Pr 0.948 0.380 0.753  0.03
Np 0.500 0.500 0.500  3.92
Np 0.000 0.000 0.000  3.92

Values from the calculation:
ΔE to the lowest computed polymorph = 26 meV per atom
Magnetization = 8.0 μB/cell
Electronic total energy = -5.80 eV/atom
N(E_F) = 12.41 states/eV/cell

=====

Density functional theory data (GGA-PBE) for a relaxed PrNpTe2 crystal.

a = 4.447 Å, b = 4.447 Å, c = 7.768 Å
α = 73.37°, β = 73.37°, γ = 60.00°
Each line ends with the local moment (μB).
Fractional positions:
Te 0.753 0.753 0.740  -0.04
Te 0.247 0.247 0.260  -0.04
Pr 0.000 0.000 0.000  0.03
Np 0.500 0.500 0.500  4.23

Values from the calculation:
ΔE to the lowest computed polymorph = 0 meV per atom
Magnetization = 4.6 μB/cell
Electronic total energy = -7.01 eV/atom
N(E_F) = 11.37 states/eV/cell